Here is FeAg3Ru at its PBEsol-relaxed geometry from Alexandria. Energies are from meta-GGA SCAN.

V in A^3/atom: 23.05
Formation energy in eV per atom: 1.73
Total magnetization in μB per cell: 5.551
Total DFT energy (no corrections) in eV/atom: -27.683

Structure (CIF):
```
data_FeAg3Ru
_symmetry_space_group_name_H-M 'P m -3 m'
_symmetry_Int_Tables_number 221
_symmetry_space_group_name_Hall '-P 4 2 3'
_cell_length_a 4.867
_cell_length_b 4.867
_cell_length_c 4.867
_cell_angle_alpha 90.00
_cell_angle_beta 90.00
_cell_angle_gamma 90.00
loop_
_atom_site_label
_atom_site_type_symbol
_atom_site_fract_x
_atom_site_fract_y
_atom_site_fract_z
Fe1 Fe 0.000 0.000 0.000
Ag1 Ag 0.000 0.500 0.500
Ru1 Ru 0.500 0.500 0.500
```